[1]
The following is a GGA-PBE calculation of a relaxed Tb3Nd2Er7 crystal, from Alexandria via LeMat-Bulk.

Cell lengths 6.3094, 3.5075, 17.4007 Å; angles 90.00, 96.21, 90.00 degrees
Positions (direct):
Tb (0.0000, 0.0000, 0.0000)
Tb (0.0477, 0.5000, 0.6578)
Tb (0.9523, 0.5000, 0.3422)
Nd (0.4416, 0.0000, 0.3260)
Nd (0.5584, 0.0000, 0.6740)
Er (0.2255, 0.5000, 0.1628)
Er (0.2445, 0.0000, 0.5006)
Er (0.2728, 0.0000, 0.8345)
Er (0.5000, 0.5000, 0.0000)
Er (0.7272, 0.0000, 0.1655)
Er (0.7555, 0.0000, 0.4994)
Er (0.7745, 0.5000, 0.8372)

Output
The value obtained for the formation energy from the elements is 84 meV per atom. As for the space-group type: No. 10. The calculated total energy is -4.53 eV per atom. Its distance to the lowest polymorph of the same formula is 0 meV per atom.

=====

[2]
The following is a GGA-PBE calculation of a relaxed Tb4Nd5Er2 crystal, from Alexandria via LeMat-Bulk.

Cell lengths 9.0422, 9.0422, 11.6607 Å; angles 93.91, 93.91, 22.71 degrees
Positions (direct):
Tb (0.0368, 0.0368, 0.2612)
Tb (0.3592, 0.3592, 0.2052)
Tb (0.6408, 0.6408, 0.7948)
Tb (0.9632, 0.9632, 0.7388)
Nd (0.0970, 0.0970, 0.5362)
Nd (0.1772, 0.1772, 0.0716)
Nd (0.5000, 0.5000, 0.0000)
Nd (0.8228, 0.8228, 0.9284)
Nd (0.9030, 0.9030, 0.4638)
Er (0.2843, 0.2843, 0.6461)
Er (0.7157, 0.7157, 0.3539)

Output
The value obtained for the formation energy from the elements is 75 meV per atom. As for the space-group type: No. 12. The calculated total energy is -4.61 eV per atom. Its distance to the lowest polymorph of the same formula is 0 meV per atom.

=====

[3]
The following is a GGA-PBE calculation of a relaxed Tb7NdEr5 crystal, from Alexandria via LeMat-Bulk.

Cell lengths 8.6771, 8.6771, 8.6771 Å; angles 134.72, 100.51, 96.54 degrees
Positions (direct):
Tb (0.0000, 0.0000, 0.0000)
Tb (0.0011, 0.5011, 0.5000)
Tb (0.0782, 0.7501, 0.3281)
Tb (0.3063, 0.3063, 0.0000)
Tb (0.4220, 0.7501, 0.6719)
Tb (0.5773, 0.2484, 0.3289)
Tb (0.9195, 0.2484, 0.6711)
Nd (0.6962, 0.6962, 0.0000)
Er (0.2687, 0.2643, 0.5360)
Er (0.2687, 0.7327, 0.0044)
Er (0.4967, 0.9967, 0.5000)
Er (0.7284, 0.2643, 0.9956)
Er (0.7284, 0.7327, 0.4640)

Output
The value obtained for the formation energy from the elements is 244 meV per atom. As for the space-group type: No. 44. The calculated total energy is -4.37 eV per atom. Its distance to the lowest polymorph of the same formula is 0 meV per atom.

=====

[4]
The following is a GGA-PBE calculation of a relaxed Tb2Nd4Er3 crystal, from Alexandria via LeMat-Bulk.

Cell lengths 9.8813, 9.8813, 6.3505 Å; angles 93.38, 93.38, 74.79 degrees
Positions (direct):
Tb (0.1273, 0.3630, 0.4042)
Tb (0.3630, 0.1273, 0.9042)
Tb (0.6370, 0.8727, 0.0958)
Tb (0.8727, 0.6370, 0.5958)
Nd (0.1835, 0.4703, 0.9245)
Nd (0.1888, 0.6897, 0.5203)
Nd (0.3103, 0.8112, 0.9797)
Nd (0.4703, 0.1835, 0.4245)
Nd (0.5297, 0.8165, 0.5755)
Nd (0.6897, 0.1888, 0.0203)
Nd (0.8112, 0.3103, 0.4797)
Nd (0.8165, 0.5297, 0.0755)
Er (0.0218, 0.1746, 0.9183)
Er (0.1746, 0.0218, 0.4183)
Er (0.4807, 0.5193, 0.2500)
Er (0.5193, 0.4807, 0.7500)
Er (0.8254, 0.9782, 0.5817)
Er (0.9782, 0.8254, 0.0817)

Output
The value obtained for the formation energy from the elements is 143 meV per atom. As for the space-group type: No. 15. The calculated total energy is -4.53 eV per atom. Its distance to the lowest polymorph of the same formula is 125 meV per atom.

=====

[5]
The following is a GGA-PBE calculation of a relaxed Tb3Nd6Er2 crystal, from Alexandria via LeMat-Bulk.

Cell lengths 6.1530, 6.8191, 9.8596 Å; angles 89.30, 89.27, 64.02 degrees
Positions (direct):
Tb (0.0000, 0.0000, 0.0000)
Tb (0.1584, 0.8205, 0.6336)
Tb (0.8416, 0.1795, 0.3664)
Nd (0.2507, 0.6452, 0.2743)
Nd (0.2891, 0.2743, 0.5471)
Nd (0.3975, 0.1069, 0.1838)
Nd (0.6025, 0.8931, 0.8162)
Nd (0.7109, 0.7257, 0.4529)
Nd (0.7493, 0.3548, 0.7257)
Er (0.2320, 0.4503, 0.8989)
Er (0.7680, 0.5497, 0.1011)

Output
The value obtained for the formation energy from the elements is 80 meV per atom. As for the space-group type: No. 2. The calculated total energy is -4.61 eV per atom. Its distance to the lowest polymorph of the same formula is 0 meV per atom.

=====

[6]
The following is a GGA-PBE calculation of a relaxed TbNd5Er3 crystal, from Alexandria via LeMat-Bulk.

Cell lengths 9.7212, 9.7212, 9.7212 Å; angles 122.93, 122.93, 85.00 degrees
Positions (direct):
Tb (0.2500, 0.7500, 0.5000)
Tb (0.7500, 0.2500, 0.5000)
Nd (0.0000, 0.0000, 0.0000)
Nd (0.0689, 0.5689, 0.9024)
Nd (0.1664, 0.0689, 0.5000)
Nd (0.3336, 0.8336, 0.9024)
Nd (0.4311, 0.3336, 0.5000)
Nd (0.5000, 0.5000, 0.0000)
Nd (0.5689, 0.6664, 0.5000)
Nd (0.6664, 0.1664, 0.0976)
Nd (0.8336, 0.9311, 0.5000)
Nd (0.9311, 0.4311, 0.0976)
Er (0.1099, 0.3901, 0.5000)
Er (0.2500, 0.2500, 0.0000)
Er (0.3901, 0.8901, 0.2803)
Er (0.6099, 0.1099, 0.7197)
Er (0.7500, 0.7500, 0.0000)
Er (0.8901, 0.6099, 0.5000)

Output
The value obtained for the formation energy from the elements is 311 meV per atom. As for the space-group type: No. 140. The calculated total energy is -4.37 eV per atom. Its distance to the lowest polymorph of the same formula is 136 meV per atom.

=====

[7]
The following is a GGA-PBE calculation of a relaxed Tb2NdEr8 crystal, from Alexandria via LeMat-Bulk.

Cell lengths 9.3441, 9.3441, 7.8979 Å; angles 104.70, 104.70, 30.99 degrees
Positions (direct):
Tb (0.2277, 0.2277, 0.1368)
Tb (0.7723, 0.7723, 0.8632)
Nd (0.5000, 0.5000, 0.5000)
Er (0.0454, 0.0454, 0.2261)
Er (0.1371, 0.1371, 0.6828)
Er (0.3179, 0.3179, 0.5917)
Er (0.4091, 0.4091, 0.0434)
Er (0.5909, 0.5909, 0.9566)
Er (0.6821, 0.6821, 0.4083)
Er (0.8629, 0.8629, 0.3172)
Er (0.9546, 0.9546, 0.7739)

Output
The value obtained for the formation energy from the elements is 22 meV per atom. As for the space-group type: No. 12. The calculated total energy is -4.57 eV per atom. Its distance to the lowest polymorph of the same formula is 0 meV per atom.

=====

[8]
The following is a GGA-PBE calculation of a relaxed Tb4Nd8Er crystal, from Alexandria via LeMat-Bulk.

Cell lengths 10.5665, 10.5665, 10.5665 Å; angles 40.45, 40.45, 40.45 degrees
Positions (direct):
Tb (0.0000, 0.0000, 0.0000)
Tb (0.0000, 0.5000, 0.5000)
Tb (0.5000, 0.0000, 0.5000)
Tb (0.5000, 0.5000, 0.0000)
Nd (0.2062, 0.7510, 0.7510)
Nd (0.2121, 0.2121, 0.2121)
Nd (0.2490, 0.2490, 0.7938)
Nd (0.2490, 0.7938, 0.2490)
Nd (0.7510, 0.2062, 0.7510)
Nd (0.7510, 0.7511, 0.2062)
Nd (0.7879, 0.7879, 0.7879)
Nd (0.7938, 0.2490, 0.2489)
Er (0.5000, 0.5000, 0.5000)

Output
The value obtained for the formation energy from the elements is 190 meV per atom. As for the space-group type: No. 166. The calculated total energy is -4.52 eV per atom.